i.
Material: NdLuIn2
Method: DFT, PBE-GGA
State: optimized geometry

CIF file:
```
data_NdLuIn2
_cell_length_a 4.933
_cell_length_b 4.933
_cell_length_c 4.451
_cell_angle_alpha 90.00
_cell_angle_beta 90.00
_cell_angle_gamma 90.00
_space_group_name_H-M_alt 'P 4/m m m'
_space_group_IT_number 123
_space_group_name_Hall '-P 4 2'
loop_
_atom_site_label
_atom_site_type_symbol
_atom_site_fract_x
_atom_site_fract_y
_atom_site_fract_z
_atom_site_occupancy
Nd1 Nd 0.000 0.000 0.000 1
Lu1 Lu 0.500 0.500 0.000 1
In1 In 0.000 0.500 0.500 1
```


ii.
Material: NdLuIn2
Method: DFT, PBE-GGA
State: optimized geometry

CIF file:
```
data_NdLuIn2
_cell_length_a 3.774
_cell_length_b 3.774
_cell_length_c 7.618
_cell_angle_alpha 90.00
_cell_angle_beta 90.00
_cell_angle_gamma 90.00
_space_group_name_H-M_alt 'P 4/m m m'
_space_group_IT_number 123
_space_group_name_Hall '-P 4 2'
loop_
_atom_site_label
_atom_site_type_symbol
_atom_site_fract_x
_atom_site_fract_y
_atom_site_fract_z
_atom_site_occupancy
Nd1 Nd 0.000 0.000 0.000 1
Lu1 Lu 0.000 0.000 0.500 1
In1 In 0.500 0.500 0.268 1
```


iii.
Material: NdLuIn2
Method: DFT, PBE-GGA
State: optimized geometry

CIF file:
```
data_NdLuIn2
_cell_length_a 3.6888
_cell_length_b 3.6888
_cell_length_c 29.5757
_cell_angle_alpha 90.00
_cell_angle_beta 90.00
_cell_angle_gamma 120.00
_space_group_name_H-M_alt 'R -3 m'
_space_group_IT_number 166
_space_group_name_Hall '-R 3 2"'
loop_
_atom_site_label
_atom_site_type_symbol
_atom_site_fract_x
_atom_site_fract_y
_atom_site_fract_z
_atom_site_occupancy
Nd1 Nd 0.0000 0.0000 0.0000 1
Lu1 Lu 0.0000 0.0000 0.5000 1
In1 In 0.0000 0.0000 0.2466 1
```


Most stable pick: ii. Distance to second place: 10 meV per atom.